DFT (GGA+U) results for NaMnV2O8 after structural relaxation.

Properties
DOS(E_F) = 0.795 states/eV per atom
VASP energy = -6.60 eV per atom
total magnetization = 2.00 Bohr magnetons per cell
crystal system = tetragonal
ρ = 3.2 g cm⁻³

Structure (POSCAR):
```
NaMnV2O8
1.0
-1.0221 4.3349 -3.9099
-3.5412 0.0320 4.7520
5.5341 0.7517 1.9829
O Mn V Na
8 1 2 1
Cartesian
3.7100 2.0026 1.0136 O
-1.0913 1.5390 1.5073 O
-2.2760 3.9072 0.2188 O
1.5989 2.7884 2.9103 O
-0.0027 4.1590 -1.9871 O
0.9138 1.9205 -0.4939 O
2.7438 3.9836 -1.2755 O
0.8056 4.4769 0.7446 O
0.0000 0.0000 0.0000 Mn
1.1152 3.6350 -0.7530 V
-2.2817 2.1834 0.4211 V
-0.1444 1.4836 3.5780 Na
```